This record from Alexandria via LeMat-Bulk describes a relaxed Pm8NdTl6 crystal. The functional is PBE.

Results
Fermi-level density of states ... 1.618 states/eV/atom
Space group ... R-3, No. 148
Energy of formation ... -163.7 meV/atom
Total moment ... 0.00 μB/f.u.

Cell and atoms, written as CIF:
```
data_Pm8NdTl6
_chemical_formula_sum 'Pm8 Nd1 Tl6'
_symmetry_space_group_name_H-M 'P 1'
_symmetry_Int_Tables_number 1
_cell_length_a 9.336
_cell_length_b 9.336
_cell_length_c 8.531
_cell_angle_alpha 56.83
_cell_angle_beta 56.83
_cell_angle_gamma 60.00
loop_
_symmetry_equiv_pos_as_xyz
'x,y,z'
loop_
_atom_site_label
_atom_site_type_symbol
_atom_site_fract_x
_atom_site_fract_y
_atom_site_fract_z
Pm1 Pm 0.667 0.667 0.999
Pm2 Pm 0.221 0.888 0.335
Pm3 Pm 0.779 0.112 0.665
Pm4 Pm 0.333 0.333 0.001
Pm5 Pm 0.112 0.444 0.665
Pm6 Pm 0.556 0.221 0.335
Pm7 Pm 0.444 0.779 0.665
Pm8 Pm 0.888 0.556 0.335
Tl1 Tl 0.276 0.606 0.178
Tl2 Tl 0.940 0.276 0.178
Tl3 Tl 0.606 0.940 0.178
Tl4 Tl 0.060 0.724 0.822
Tl5 Tl 0.394 0.060 0.822
Tl6 Tl 0.724 0.394 0.822
Nd1 Nd 0.000 0.000 0.000
```

***

This record from Alexandria via LeMat-Bulk describes a relaxed Pm2Nd3Tl3 crystal. The functional is PBE.

Results
Fermi-level density of states ... 1.397 states/eV/atom
Space group ... P6_3/mcm, No. 193
Energy of formation ... -294.5 meV/atom
Energy relative to the lowest polymorph listed for this composition ... 0 kJ/mol of formula units
Total moment ... 0.00 μB/f.u.

Cell and atoms, written as CIF:
```
data_Pm2Nd3Tl3
_chemical_formula_sum 'Pm4 Nd6 Tl6'
_symmetry_space_group_name_H-M 'P 1'
_symmetry_Int_Tables_number 1
_cell_length_a 6.893
_cell_length_b 9.296
_cell_length_c 9.296
_cell_angle_alpha 120.00
_cell_angle_beta 90.00
_cell_angle_gamma 90.00
loop_
_symmetry_equiv_pos_as_xyz
'x,y,z'
loop_
_atom_site_label
_atom_site_type_symbol
_atom_site_fract_x
_atom_site_fract_y
_atom_site_fract_z
Pm1 Pm 0.000 0.333 0.667
Pm2 Pm 0.500 0.667 0.333
Pm3 Pm 0.000 0.667 0.333
Pm4 Pm 0.500 0.333 0.667
Nd1 Nd 0.750 0.000 0.236
Nd2 Nd 0.250 0.236 0.236
Nd3 Nd 0.250 0.000 0.764
Nd4 Nd 0.750 0.764 0.764
Nd5 Nd 0.250 0.764 0.000
Nd6 Nd 0.750 0.236 0.000
Tl1 Tl 0.750 0.596 0.000
Tl2 Tl 0.250 0.404 0.000
Tl3 Tl 0.750 0.000 0.596
Tl4 Tl 0.250 0.596 0.596
Tl5 Tl 0.750 0.404 0.404
Tl6 Tl 0.250 0.000 0.404
```

***

This record from Alexandria via LeMat-Bulk describes a relaxed Pm2Nd3Tl3 crystal. The functional is PBE.

Results
Fermi-level density of states ... 1.059 states/eV/atom
Space group ... Immm, No. 71
Energy of formation ... -277.7 meV/atom
Energy relative to the lowest polymorph listed for this composition ... 13 kJ/mol of formula units
Total moment ... 0.00 μB/f.u.

Cell and atoms, written as CIF:
```
data_Pm2Nd3Tl3
_chemical_formula_sum 'Pm2 Nd3 Tl3'
_symmetry_space_group_name_H-M 'P 1'
_symmetry_Int_Tables_number 1
_cell_length_a 4.529
_cell_length_b 5.086
_cell_length_c 11.174
_cell_angle_alpha 103.15
_cell_angle_beta 101.69
_cell_angle_gamma 90.00
loop_
_symmetry_equiv_pos_as_xyz
'x,y,z'
loop_
_atom_site_label
_atom_site_type_symbol
_atom_site_fract_x
_atom_site_fract_y
_atom_site_fract_z
Nd1 Nd 0.381 0.381 0.762
Nd2 Nd 0.500 0.000 0.000
Nd3 Nd 0.619 0.619 0.238
Tl1 Tl 0.873 0.873 0.746
Tl2 Tl 0.000 0.500 0.000
Tl3 Tl 0.127 0.127 0.254
Pm1 Pm 0.737 0.237 0.474
Pm2 Pm 0.263 0.763 0.526
```

***

This record from Alexandria via LeMat-Bulk describes a relaxed Pm2Nd5Tl crystal. The functional is PBE.

Results
Fermi-level density of states ... 1.252 states/eV/atom
Space group ... Immm, No. 71
Energy of formation ... -10.5 meV/atom
Total moment ... 0.00 μB/f.u.

Cell and atoms, written as CIF:
```
data_Pm2Nd5Tl
_chemical_formula_sum 'Pm2 Nd5 Tl1'
_symmetry_space_group_name_H-M 'P 1'
_symmetry_Int_Tables_number 1
_cell_length_a 3.554
_cell_length_b 11.387
_cell_length_c 8.905
_cell_angle_alpha 129.74
_cell_angle_beta 101.51
_cell_angle_gamma 90.00
loop_
_symmetry_equiv_pos_as_xyz
'x,y,z'
loop_
_atom_site_label
_atom_site_type_symbol
_atom_site_fract_x
_atom_site_fract_y
_atom_site_fract_z
Nd1 Nd 0.370 0.132 0.739
Nd2 Nd 0.630 0.392 0.261
Nd3 Nd 0.370 0.608 0.739
Nd4 Nd 0.000 0.500 0.000
Nd5 Nd 0.630 0.868 0.261
Pm1 Pm 0.732 0.232 0.463
Pm2 Pm 0.268 0.768 0.537
Tl1 Tl 0.000 0.000 0.000
```

***

This record from Alexandria via LeMat-Bulk describes a relaxed Pm2Nd3Tl4 crystal. The functional is PBE.

Results
Fermi-level density of states ... 1.097 states/eV/atom
Space group ... C2/m, No. 12
Energy of formation ... -315.5 meV/atom
Energy relative to the lowest polymorph listed for this composition ... 0 kJ/mol of formula units
Total moment ... 0.00 μB/f.u.

Cell and atoms, written as CIF:
```
data_Pm2Nd3Tl4
_chemical_formula_sum 'Pm2 Nd3 Tl4'
_symmetry_space_group_name_H-M 'P 1'
_symmetry_Int_Tables_number 1
_cell_length_a 5.439
_cell_length_b 5.436
_cell_length_c 10.706
_cell_angle_alpha 90.06
_cell_angle_beta 90.00
_cell_angle_gamma 59.99
loop_
_symmetry_equiv_pos_as_xyz
'x,y,z'
loop_
_atom_site_label
_atom_site_type_symbol
_atom_site_fract_x
_atom_site_fract_y
_atom_site_fract_z
Nd1 Nd 0.666 0.667 0.578
Nd2 Nd 0.000 0.000 0.000
Nd3 Nd 0.334 0.333 0.422
Tl1 Tl 0.000 0.999 0.347
Tl2 Tl 0.000 0.001 0.653
Tl3 Tl 0.334 0.333 0.101
Tl4 Tl 0.666 0.667 0.899
Pm1 Pm 0.333 0.334 0.780
Pm2 Pm 0.667 0.666 0.220
```

***

This record from Alexandria via LeMat-Bulk describes a relaxed PmNd7Tl5 crystal. The functional is PBE.

Results
Fermi-level density of states ... 1.077 states/eV/atom
Space group ... Imm2, No. 44
Energy of formation ... -190.0 meV/atom
Total moment ... 0.00 μB/f.u.

Cell and atoms, written as CIF:
```
data_PmNd7Tl5
_chemical_formula_sum 'Pm1 Nd7 Tl5'
_symmetry_space_group_name_H-M 'P 1'
_symmetry_Int_Tables_number 1
_cell_length_a 6.802
_cell_length_b 8.532
_cell_length_c 8.532
_cell_angle_alpha 79.31
_cell_angle_beta 66.51
_cell_angle_gamma 66.51
loop_
_symmetry_equiv_pos_as_xyz
'x,y,z'
loop_
_atom_site_label
_atom_site_type_symbol
_atom_site_fract_x
_atom_site_fract_y
_atom_site_fract_z
Tl1 Tl 0.746 0.754 0.754
Tl2 Tl 0.516 0.479 0.999
Tl3 Tl 0.005 0.479 0.999
Tl4 Tl 0.516 0.999 0.479
Tl5 Tl 0.005 0.999 0.479
Nd1 Nd 0.631 0.369 0.369
Nd2 Nd 0.001 0.335 0.663
Nd3 Nd 0.001 0.663 0.335
Nd4 Nd 0.517 0.794 0.172
Nd5 Nd 0.302 0.698 0.698
Nd6 Nd 0.276 0.224 0.224
Nd7 Nd 0.517 0.172 0.794
Pm1 Pm 0.965 0.035 0.035
```